Entry 1:
Density functional theory data (PBE) for a relaxed NiOs2Au crystal.

Lattice parameters (Å, degrees): 4.3406 4.3406 4.3406 60.00 60.00 60.00
Positions (direct):
Os 0.7500 0.7500 0.7500
Os 0.2500 0.2500 0.2500
Ni 0.0000 0.0000 0.0000
Au 0.5000 0.5000 0.5000

Calculated values
For the energy above the lowest structure with this stoichiometry, the calculation gives 0.528 eV per atom. The calculation puts the raw total energy at -7.1090 eV/atom. For the formation energy, the calculation gives 771 meV/atom.



Entry 2:
Density functional theory data (PBE) for a relaxed NiOsAu3 crystal.

Lattice parameters (Å, degrees): 4.6479 4.6479 4.6479 90.00 90.00 90.00
Positions (direct):
Au 0.0000 0.0000 0.5000
Au 0.0000 0.5000 0.0000
Au 0.5000 0.0000 0.0000
Os 0.5000 0.5000 0.5000
Ni 0.0000 0.0000 0.0000

Calculated values
The calculation puts the raw total energy at -3.8226 eV/atom. For the formation energy, the calculation gives 1546 meV/atom.



Entry 3:
Density functional theory data (PBE) for a relaxed NiOsAu2 crystal.

Lattice parameters (Å, degrees): 4.7992 4.7992 2.7251 90.00 90.00 90.00
Positions (direct):
Os 0.0000 0.5000 0.5000
Au 0.5000 0.5000 0.0000
Au 0.0000 0.0000 0.0000
Ni 0.5000 0.0000 0.5000

Calculated values
For the energy above the lowest structure with this stoichiometry, the calculation gives 0.287 eV per atom. The calculation puts the raw total energy at -5.3325 eV/atom. For the formation energy, the calculation gives 559 meV/atom.



Entry 4:
Density functional theory data (PBE) for a relaxed NiOsAu2 crystal.

Lattice parameters (Å, degrees): 4.9175 4.9175 2.7071 90.00 90.00 109.05
Positions (direct):
Ni 0.5000 0.0000 0.5000
Os 0.0000 0.5000 0.5000
Au 0.0000 0.0000 0.0000
Au 0.5000 0.5000 0.0000

Calculated values
For the energy above the lowest structure with this stoichiometry, the calculation gives 0.226 eV per atom. The calculation puts the raw total energy at -5.3936 eV/atom. For the formation energy, the calculation gives 498 meV/atom.



Entry 5:
Density functional theory data (PBE) for a relaxed NiOs2Au crystal.

Lattice parameters (Å, degrees): 5.5696 5.5696 4.3714 66.05 66.05 28.49
Positions (direct):
Ni 0.7500 0.7500 0.7500
Os 0.0344 0.0344 0.9650
Os 0.4656 0.4656 0.5350
Au 0.2500 0.2500 0.2500

Calculated values
For the energy above the lowest structure with this stoichiometry, the calculation gives 0.166 eV per atom. The calculation puts the raw total energy at -7.4704 eV/atom. For the formation energy, the calculation gives 409 meV/atom.



Entry 6:
Density functional theory data (PBE) for a relaxed NiOs2Au2 crystal.

Lattice parameters (Å, degrees): 6.2802 6.2802 4.1868 90.00 90.00 90.00
Positions (direct):
Au 0.6732 0.8268 0.5000
Au 0.1732 0.6732 0.5000
Au 0.8268 0.3268 0.5000
Au 0.3268 0.1732 0.5000
Ni 0.0000 0.0000 0.0000
Ni 0.5000 0.5000 0.0000
Os 0.6328 0.1328 0.0000
Os 0.1328 0.3672 0.0000
Os 0.3672 0.8672 0.0000
Os 0.8672 0.6328 0.0000

Calculated values
The calculation puts the raw total energy at -6.1765 eV/atom. For the formation energy, the calculation gives 783 meV/atom.